# PBE-GGA Ti2CoAsOs, optimized geometry
data_Ti2CoAsOs
_chemical_formula_sum 'Ti2 Co1 As1 Os1'
_symmetry_space_group_name_H-M 'P 4/m m m'
_symmetry_Int_Tables_number 123
_symmetry_space_group_name_Hall '-P 4 2'
_cell_length_a 4.5973
_cell_length_b 4.5973
_cell_length_c 4.1090
_cell_angle_alpha 90.00
_cell_angle_beta 90.00
_cell_angle_gamma 90.00
loop_
_atom_site_label
_atom_site_fract_x
_atom_site_fract_y
_atom_site_fract_z
Ti1 0.0000 0.5000 0.0000
Co1 0.0000 0.0000 0.5000
As1 0.0000 0.0000 0.0000
Os1 0.5000 0.5000 0.5000
# Offset from the most stable computed form = 208 meV/atom
# Density = 8.027 g/cm3
# Total magnetic moment = 0.48 μB per cell
# Calculated formation energy = 0.641 eV per atom

***

# PBE-GGA CoAsOs2W, optimized geometry
data_CoAsOs2W
_chemical_formula_sum 'Co1 As1 Os2 W1'
_symmetry_space_group_name_H-M 'P 4/m m m'
_symmetry_Int_Tables_number 123
_symmetry_space_group_name_Hall '-P 4 2'
_cell_length_a 4.7402
_cell_length_b 4.7402
_cell_length_c 4.4655
_cell_angle_alpha 90.00
_cell_angle_beta 90.00
_cell_angle_gamma 90.00
loop_
_atom_site_label
_atom_site_fract_x
_atom_site_fract_y
_atom_site_fract_z
Co1 0.0000 0.0000 0.0000
As1 0.5000 0.5000 0.0000
Os1 0.0000 0.5000 0.5000
W1 0.0000 0.0000 0.5000
# Density = 11.554 g/cm3
# Total magnetic moment = 0.93 μB per cell
# Calculated formation energy = 2.009 eV per atom

***

# PBE-GGA Y2CoAsOs, optimized geometry
data_Y2CoAsOs
_chemical_formula_sum 'Y2 Co1 As1 Os1'
_symmetry_space_group_name_H-M 'P 4/m m m'
_symmetry_Int_Tables_number 123
_symmetry_space_group_name_Hall '-P 4 2'
_cell_length_a 5.1244
_cell_length_b 5.1244
_cell_length_c 4.3577
_cell_angle_alpha 90.00
_cell_angle_beta 90.00
_cell_angle_gamma 90.00
loop_
_atom_site_label
_atom_site_fract_x
_atom_site_fract_y
_atom_site_fract_z
Y1 0.0000 0.5000 0.0000
Co1 0.0000 0.0000 0.0000
As1 0.5000 0.5000 0.5000
Os1 0.0000 0.0000 0.5000
# Density = 7.283 g/cm3
# Total magnetic moment = 0.00 μB per cell
# Calculated formation energy = 0.085 eV per atom

***

# PBE-GGA CoAs2P, optimized geometry
data_CoAs2P
_chemical_formula_sum 'Co2 As4 P2'
_symmetry_space_group_name_H-M 'P 4/n m m'
_symmetry_Int_Tables_number 129
_cell_length_a 3.8840
_cell_length_b 3.8840
_cell_length_c 8.5270
_cell_angle_alpha 90.00
_cell_angle_beta 90.00
_cell_angle_gamma 90.00
loop_
_symmetry_equiv_pos_as_xyz
'x,y,z'
'-x,-y,-z'
'-y+1/2,x,z'
'y+1/2,-x,-z'
'-x+1/2,-y+1/2,z'
'x+1/2,y+1/2,-z'
'y,-x+1/2,z'
'-y,x+1/2,-z'
'x+1/2,-y,-z'
'-x+1/2,y,z'
'-y,-x,-z'
'y,x,z'
'-x,y+1/2,-z'
'x,-y+1/2,z'
'y+1/2,x+1/2,-z'
'-y+1/2,-x+1/2,z'
loop_
_atom_site_label
_atom_site_fract_x
_atom_site_fract_y
_atom_site_fract_z
Co1 0.2500 0.7500 0.0000
As1 0.2500 0.2500 0.2019
As2 0.2500 0.7500 0.5000
P1 0.2500 0.2500 0.8471
# Density = 6.190 g/cm3
# Total magnetic moment = 0.00 μB per cell
# Calculated formation energy = 0.105 eV per atom

***

# PBE-GGA Co2AsP, optimized geometry
data_Co2AsP
_chemical_formula_sum 'Co2 As1 P1'
_symmetry_space_group_name_H-M 'P 4 m m'
_symmetry_Int_Tables_number 99
_cell_length_a 2.8120
_cell_length_b 2.8120
_cell_length_c 7.2042
_cell_angle_alpha 90.00
_cell_angle_beta 90.00
_cell_angle_gamma 90.00
loop_
_symmetry_equiv_pos_as_xyz
'x,y,z'
'-y,x,z'
'-x,-y,z'
'y,-x,z'
'-x,y,z'
'y,x,z'
'x,-y,z'
'-y,-x,z'
loop_
_atom_site_label
_atom_site_fract_x
_atom_site_fract_y
_atom_site_fract_z
Co1 0.0000 0.0000 0.0000
Co2 0.5000 0.5000 0.2321
As1 0.5000 0.5000 0.8096
P1 0.0000 0.0000 0.3873
# Offset from the most stable computed form = 207 meV/atom
# Density = 6.523 g/cm3
# Total magnetic moment = 0.90 μB per cell
# Calculated formation energy = -0.039 eV per atom

***

# PBE-GGA CoAsP, optimized geometry
data_CoAsP
_chemical_formula_sum 'Co4 As4 P4'
_symmetry_space_group_name_H-M 'P 1 21/c 1'
_symmetry_Int_Tables_number 14
_cell_length_a 5.3816
_cell_length_b 5.7365
_cell_length_c 5.6925
_cell_angle_alpha 90.00
_cell_angle_beta 99.40
_cell_angle_gamma 90.00
loop_
_symmetry_equiv_pos_as_xyz
'x,y,z'
'-x,-y,-z'
'-x,y+1/2,-z+1/2'
'x,-y+1/2,z+1/2'
loop_
_atom_site_label
_atom_site_fract_x
_atom_site_fract_y
_atom_site_fract_z
Co1 0.0000 0.0000 0.0000
Co2 0.5000 0.0000 0.5000
As1 0.1168 0.1333 0.6472
P1 0.3997 0.6280 0.6034
# Offset from the most stable computed form = 219 meV/atom
# Density = 6.315 g/cm3
# Total magnetic moment = 0.00 μB per cell
# Calculated formation energy = -0.223 eV per atom

***

# PBE-GGA CoAs2P, optimized geometry
data_CoAs2P
_chemical_formula_sum 'Co2 As4 P2'
_symmetry_space_group_name_H-M 'C m m m'
_symmetry_Int_Tables_number 65
_symmetry_space_group_name_Hall '-C 2 2'
_cell_length_a 5.4782
_cell_length_b 6.9813
_cell_length_c 3.1583
_cell_angle_alpha 90.00
_cell_angle_beta 90.00
_cell_angle_gamma 90.00
loop_
_atom_site_label
_atom_site_fract_x
_atom_site_fract_y
_atom_site_fract_z
Co1 0.0000 0.0000 0.0000
As1 0.2500 0.2500 0.5000
P1 0.0000 0.5000 0.0000
# Density = 6.592 g/cm3
# Total magnetic moment = 0.02 μB per cell
# Calculated formation energy = 0.458 eV per atom

***

# PBE-GGA CoAs2P, optimized geometry
data_CoAs2P
_chemical_formula_sum 'Co3 As6 P3'
_symmetry_space_group_name_H-M 'R -3 m'
_symmetry_Int_Tables_number 166
_symmetry_space_group_name_Hall '-R 3 2"'
_cell_length_a 2.9781
_cell_length_b 2.9781
_cell_length_c 24.4848
_cell_angle_alpha 90.00
_cell_angle_beta 90.00
_cell_angle_gamma 120.00
loop_
_atom_site_label
_atom_site_fract_x
_atom_site_fract_y
_atom_site_fract_z
Co1 0.0000 0.0000 0.0000
As1 0.0000 0.0000 0.2633
P1 0.0000 0.0000 0.5000
# Density = 6.351 g/cm3
# Total magnetic moment = 1.76 μB per cell
# Calculated formation energy = 0.310 eV per atom

***

# PBE-GGA CoAs2P, optimized geometry
data_CoAs2P
_chemical_formula_sum 'Co1 As2 P1'
_symmetry_space_group_name_H-M 'P 4/m m m'
_symmetry_Int_Tables_number 123
_symmetry_space_group_name_Hall '-P 4 2'
_cell_length_a 4.5733
_cell_length_b 4.5733
_cell_length_c 2.8985
_cell_angle_alpha 90.00
_cell_angle_beta 90.00
_cell_angle_gamma 90.00
loop_
_atom_site_label
_atom_site_fract_x
_atom_site_fract_y
_atom_site_fract_z
Co1 0.0000 0.0000 0.0000
As1 0.0000 0.5000 0.5000
P1 0.5000 0.5000 0.0000
# Density = 6.567 g/cm3
# Total magnetic moment = 0.72 μB per cell
# Calculated formation energy = 0.504 eV per atom

***

# PBE-GGA CoAsP, optimized geometry
data_CoAsP
_chemical_formula_sum 'Co2 As2 P2'
_symmetry_space_group_name_H-M 'P m m a'
_symmetry_Int_Tables_number 51
_cell_length_a 5.2262
_cell_length_b 3.4041
_cell_length_c 4.9804
_cell_angle_alpha 90.00
_cell_angle_beta 90.00
_cell_angle_gamma 90.00
loop_
_symmetry_equiv_pos_as_xyz
'x,y,z'
'-x,-y,-z'
'-x+1/2,-y,z'
'x+1/2,y,-z'
'x+1/2,-y,-z'
'-x+1/2,y,z'
'-x,y,-z'
'x,-y,z'
loop_
_atom_site_label
_atom_site_fract_x
_atom_site_fract_y
_atom_site_fract_z
Co1 0.0000 0.0000 0.0000
As1 0.2500 0.5000 0.2439
P1 0.2500 0.0000 0.6458
# Offset from the most stable computed form = 467 meV/atom
# Density = 6.178 g/cm3
# Total magnetic moment = 0.00 μB per cell
# Calculated formation energy = 0.024 eV per atom

***

# PBE-GGA Co2AsP, optimized geometry
data_Co2AsP
_chemical_formula_sum 'Co2 As1 P1'
_symmetry_space_group_name_H-M 'P m m 2'
_symmetry_Int_Tables_number 25
_cell_length_a 2.8991
_cell_length_b 4.3748
_cell_length_c 3.8696
_cell_angle_alpha 90.00
_cell_angle_beta 90.00
_cell_angle_gamma 90.00
loop_
_symmetry_equiv_pos_as_xyz
'x,y,z'
'-x,-y,z'
'-x,y,z'
'x,-y,z'
loop_
_atom_site_label
_atom_site_fract_x
_atom_site_fract_y
_atom_site_fract_z
Co1 0.0000 0.0000 0.0000
Co2 0.5000 0.5000 0.2815
As1 0.5000 0.0000 0.5107
P1 0.0000 0.5000 0.8020
# Offset from the most stable computed form = 85 meV/atom
# Density = 7.571 g/cm3
# Total magnetic moment = 0.00 μB per cell
# Calculated formation energy = -0.161 eV per atom

***

# PBE-GGA Co2AsP, optimized geometry
data_Co2AsP
_chemical_formula_sum 'Co8 As4 P4'
_symmetry_space_group_name_H-M 'F -4 3 m'
_symmetry_Int_Tables_number 216
_symmetry_space_group_name_Hall 'F -4 2 3'
_cell_length_a 5.9083
_cell_length_b 5.9083
_cell_length_c 5.9083
_cell_angle_alpha 90.00
_cell_angle_beta 90.00
_cell_angle_gamma 90.00
loop_
_atom_site_label
_atom_site_fract_x
_atom_site_fract_y
_atom_site_fract_z
Co1 0.0000 0.0000 0.0000
Co2 0.2500 0.2500 0.2500
As1 0.2500 0.2500 0.7500
P1 0.0000 0.0000 0.5000
# Offset from the most stable computed form = 697 meV/atom
# Density = 7.206 g/cm3
# Total magnetic moment = 8.24 μB per cell
# Calculated formation energy = 0.451 eV per atom

***

# PBE-GGA CoAsP, optimized geometry
data_CoAsP
_chemical_formula_sum 'Co8 As8 P8'
_symmetry_space_group_name_H-M 'P b c a'
_symmetry_Int_Tables_number 61
_cell_length_a 5.7390
_cell_length_b 5.7700
_cell_length_c 10.2931
_cell_angle_alpha 90.00
_cell_angle_beta 90.00
_cell_angle_gamma 90.00
loop_
_symmetry_equiv_pos_as_xyz
'x,y,z'
'-x,-y,-z'
'-x+1/2,-y,z+1/2'
'x+1/2,y,-z+1/2'
'x+1/2,-y+1/2,-z'
'-x+1/2,y+1/2,z'
'-x,y+1/2,-z+1/2'
'x,-y+1/2,z+1/2'
loop_
_atom_site_label
_atom_site_fract_x
_atom_site_fract_y
_atom_site_fract_z
Co1 0.0133 0.1104 0.1201
As1 0.1386 0.2452 0.4200
P1 0.1263 0.0164 0.6772
# Offset from the most stable computed form = 99 meV/atom
# Density = 6.424 g/cm3
# Total magnetic moment = 0.00 μB per cell
# Calculated formation energy = -0.344 eV per atom

***

# PBE-GGA CoAs2P, optimized geometry
data_CoAs2P
_chemical_formula_sum 'Co2 As4 P2'
_symmetry_space_group_name_H-M 'I m m m'
_symmetry_Int_Tables_number 71
_symmetry_space_group_name_Hall '-I 2 2'
_cell_length_a 3.2767
_cell_length_b 3.3186
_cell_length_c 13.5827
_cell_angle_alpha 90.00
_cell_angle_beta 90.00
_cell_angle_gamma 90.00
loop_
_atom_site_label
_atom_site_fract_x
_atom_site_fract_y
_atom_site_fract_z
Co1 0.0000 0.0000 0.0000
As1 0.0000 0.5000 0.1372
P1 0.0000 0.0000 0.5000
# Density = 5.391 g/cm3
# Total magnetic moment = 0.00 μB per cell
# Calculated formation energy = 0.070 eV per atom

***

# PBE-GGA CoAsP, optimized geometry
data_CoAsP
_chemical_formula_sum 'Co2 As2 P2'
_symmetry_space_group_name_H-M 'I 4 m m'
_symmetry_Int_Tables_number 107
_symmetry_space_group_name_Hall 'I 4 -2'
_cell_length_a 2.7826
_cell_length_b 2.7826
_cell_length_c 11.8395
_cell_angle_alpha 90.00
_cell_angle_beta 90.00
_cell_angle_gamma 90.00
loop_
_atom_site_label
_atom_site_fract_x
_atom_site_fract_y
_atom_site_fract_z
Co1 0.0000 0.0000 0.0000
As1 0.0000 0.0000 0.6434
P1 0.0000 0.0000 0.3927
# Offset from the most stable computed form = 419 meV/atom
# Density = 5.971 g/cm3
# Total magnetic moment = 0.91 μB per cell
# Calculated formation energy = -0.024 eV per atom

***

# PBE-GGA Co2AsP, optimized geometry
data_Co2AsP
_chemical_formula_sum 'Co4 As2 P2'
_symmetry_space_group_name_H-M 'I m m m'
_symmetry_Int_Tables_number 71
_symmetry_space_group_name_Hall '-I 2 2'
_cell_length_a 3.7270
_cell_length_b 4.2230
_cell_length_c 6.3173
_cell_angle_alpha 90.00
_cell_angle_beta 90.00
_cell_angle_gamma 90.00
loop_
_atom_site_label
_atom_site_fract_x
_atom_site_fract_y
_atom_site_fract_z
Co1 0.0000 0.0000 0.2142
As1 0.0000 0.5000 0.0000
P1 0.0000 0.5000 0.5000
# Offset from the most stable computed form = 295 meV/atom
# Density = 7.474 g/cm3
# Total magnetic moment = 2.21 μB per cell
# Calculated formation energy = 0.050 eV per atom

***

# PBE-GGA CoAsP, optimized geometry
data_CoAsP
_chemical_formula_sum 'Co4 As4 P4'
_symmetry_space_group_name_H-M 'P 1 21/c 1'
_symmetry_Int_Tables_number 14
_cell_length_a 5.7514
_cell_length_b 5.7076
_cell_length_c 5.7867
_cell_angle_alpha 90.00
_cell_angle_beta 114.74
_cell_angle_gamma 90.00
loop_
_symmetry_equiv_pos_as_xyz
'x,y,z'
'-x,-y,-z'
'-x,y+1/2,-z+1/2'
'x,-y+1/2,z+1/2'
loop_
_atom_site_label
_atom_site_fract_x
_atom_site_fract_y
_atom_site_fract_z
Co1 0.2161 0.0095 0.2086
As1 0.3434 0.6282 0.1377
P1 0.1538 0.1356 0.8263
# Offset from the most stable computed form = 0 meV/atom
# Density = 6.346 g/cm3
# Total magnetic moment = 0.00 μB per cell
# Calculated formation energy = -0.443 eV per atom

***

# PBE-GGA CoAs2P, optimized geometry
data_CoAs2P
_chemical_formula_sum 'Co2 As4 P2'
_symmetry_space_group_name_H-M 'C 1 2/m 1'
_symmetry_Int_Tables_number 12
_cell_length_a 5.9573
_cell_length_b 3.4451
_cell_length_c 6.4027
_cell_angle_alpha 90.00
_cell_angle_beta 108.23
_cell_angle_gamma 90.00
loop_
_symmetry_equiv_pos_as_xyz
'x,y,z'
'-x,-y,-z'
'-x,y,-z'
'x,-y,z'
'x+1/2,y+1/2,z'
'-x+1/2,-y+1/2,-z'
'-x+1/2,y+1/2,-z'
'x+1/2,-y+1/2,z'
loop_
_atom_site_label
_atom_site_fract_x
_atom_site_fract_y
_atom_site_fract_z
Co1 0.0000 0.0000 0.0000
As1 0.2447 0.5000 0.2325
P1 0.0000 0.5000 0.5000
# Density = 6.379 g/cm3
# Total magnetic moment = 0.00 μB per cell
# Calculated formation energy = 0.164 eV per atom

***

# PBE-GGA CoAsP, optimized geometry
data_CoAsP
_chemical_formula_sum 'Co1 As1 P1'
_symmetry_space_group_name_H-M 'P 3 m 1'
_symmetry_Int_Tables_number 156
_cell_length_a 3.1879
_cell_length_b 3.1879
_cell_length_c 4.8953
_cell_angle_alpha 90.00
_cell_angle_beta 90.00
_cell_angle_gamma 120.00
loop_
_symmetry_equiv_pos_as_xyz
'x,y,z'
'-y,x-y,z'
'-x+y,-x,z'
'-y,-x,z'
'-x+y,y,z'
'x,x-y,z'
loop_
_atom_site_label
_atom_site_fract_x
_atom_site_fract_y
_atom_site_fract_z
Co1 0.0000 0.0000 0.0000
As1 0.6667 0.3333 0.6717
P1 0.3333 0.6667 0.2543
# Offset from the most stable computed form = 373 meV/atom
# Density = 6.353 g/cm3
# Total magnetic moment = 0.00 μB per cell
# Calculated formation energy = -0.070 eV per atom

***

# PBE-GGA CoAs2P, optimized geometry
data_CoAs2P
_chemical_formula_sum 'Co3 As6 P3'
_symmetry_space_group_name_H-M 'R 3 m'
_symmetry_Int_Tables_number 160
_symmetry_space_group_name_Hall 'R 3 -2"'
_cell_length_a 2.9398
_cell_length_b 2.9398
_cell_length_c 26.3543
_cell_angle_alpha 90.00
_cell_angle_beta 90.00
_cell_angle_gamma 120.00
loop_
_atom_site_label
_atom_site_fract_x
_atom_site_fract_y
_atom_site_fract_z
Co1 0.0000 0.0000 0.0000
As1 0.0000 0.0000 0.2635
As2 0.0000 0.0000 0.4692
P1 0.0000 0.0000 0.7212
# Density = 6.055 g/cm3
# Total magnetic moment = 0.00 μB per cell
# Calculated formation energy = 0.111 eV per atom